Entry 1:
VASP calculation (PBE) on an optimized crystal structure of VBRu2.

Calculated values
Calculated volume ... 103 Å³/cell
Crystal system ... tetragonal
Energy of formation ... 0.039 eV per atom

a b c (Å): 5.2627 5.2627 5.2627
angles (deg): 100.92 100.92 128.39
With the nearest neighbours (Å) after each atom.
Atoms (fractional coordinates):
1 V 0.0000 0.0000 0.0000  2 B 2.29
2 V 0.7500 0.2500 0.5000  2 B 2.29
3 B 0.2500 0.7500 0.5000  4 Ru 2.05, 2 V 2.29
4 B 0.5000 0.5000 0.0000  4 Ru 2.05, 2 V 2.29
5 Ru 0.2211 0.6250 0.0961  2 B 2.05
6 Ru 0.3750 0.4711 0.5961  2 B 2.05
7 Ru 0.5289 0.1250 0.9039  2 B 2.05
8 Ru 0.8750 0.7789 0.4039  2 B 2.05


Entry 2:
VASP calculation (PBE) on an optimized crystal structure of Sm2TmMgTe5.

Calculated values
Calculated volume ... 549 Å³/cell
ΔE_f (raw) ... -1.196 eV/atom
Crystal system ... orthorhombic

a b c (Å): 9.6783 9.6783 13.5313
angles (deg): 90.00 90.00 154.32
With the nearest neighbours (Å) after each atom.
Atoms (fractional coordinates):
1 Sm 0.1117 0.8883 0.5000  8 Te 3.21-3.47
2 Sm 0.1342 0.8658 0.1215  8 Te 3.22-3.44
3 Sm 0.8658 0.1342 0.6215  8 Te 3.22-3.44
4 Sm 0.8883 0.1117 0.0000  8 Te 3.21-3.47
5 Tm 0.2046 0.7954 0.8316  6 Te 3.01-3.09
6 Tm 0.7954 0.2046 0.3316  6 Te 3.01-3.09
7 Mg 0.4451 0.5549 0.2749  4 Te 2.67-2.92
8 Mg 0.5549 0.4451 0.7749  4 Te 2.67-2.92
9 Te 0.0507 0.9493 0.8958  2 Mg 2.70
10 Te 0.2818 0.7182 0.4891  2 Tm 3.04, 3 Sm 3.21-3.22
11 Te 0.3101 0.6899 0.1689  1 Mg 2.92, 2 Tm 3.09
12 Te 0.3636 0.6364 0.8178  1 Tm 3.01, 2 Sm 3.30
13 Te 0.4957 0.5043 0.5959  1 Mg 2.67
14 Te 0.5043 0.4957 0.0959  1 Mg 2.67
15 Te 0.6364 0.3636 0.3178  1 Tm 3.01, 2 Sm 3.30
16 Te 0.6899 0.3101 0.6689  1 Mg 2.92, 2 Tm 3.09
17 Te 0.7182 0.2818 0.9891  2 Tm 3.04, 3 Sm 3.21-3.22
18 Te 0.9493 0.0507 0.3958  2 Mg 2.70


Entry 3:
VASP calculation (PBE) on an optimized crystal structure of Hf3Co2Ir.

Calculated values
Calculated volume ... 98 Å³/cell
Crystal system ... tetragonal
Energy of formation ... -0.559 eV per atom

a b c (Å): 3.1624 3.1624 9.7772
angles (deg): 90.00 90.00 90.00
With the nearest neighbours (Å) after each atom.
Atoms (fractional coordinates):
1 Hf 0.0000 0.0000 0.0000  8 Co 2.75
2 Hf 0.0000 0.0000 0.3233  4 Co 2.73, 4 Ir 2.83
3 Hf 0.0000 0.0000 0.6767  4 Co 2.73, 4 Ir 2.83
4 Co 0.5000 0.5000 0.1636  8 Hf 2.73-2.75
5 Co 0.5000 0.5000 0.8364  8 Hf 2.73-2.75
6 Ir 0.5000 0.5000 0.5000  8 Hf 2.83, 4 Ir 3.16


Entry 4:
VASP calculation (PBE) on an optimized crystal structure of Sr2ZrSnO6.

Calculated values
Calculated volume ... 143 Å³/cell
ΔE_f (raw) ... -2.708 eV/atom
Crystal system ... cubic

a b c (Å): 5.8714 5.8714 5.8714
angles (deg): 60.00 60.00 60.00
With the nearest neighbours (Å) after each atom.
Atoms (fractional coordinates):
1 Sr 0.2500 0.2500 0.2500  12 O 2.94
2 Sr 0.7500 0.7500 0.7500  12 O 2.94
3 Zr 0.0000 0.0000 0.0000  6 O 2.09
4 Sn 0.5000 0.5000 0.5000  6 O 2.06
5 O 0.2517 0.2517 0.7483  1 Sn 2.06, 1 Zr 2.09
6 O 0.2517 0.7483 0.2517  1 Sn 2.06, 1 Zr 2.09
7 O 0.2517 0.7483 0.7483  1 Sn 2.06, 1 Zr 2.09
8 O 0.7483 0.2517 0.2517  1 Sn 2.06, 1 Zr 2.09
9 O 0.7483 0.2517 0.7483  1 Sn 2.06, 1 Zr 2.09
10 O 0.7483 0.7483 0.2517  1 Sn 2.06, 1 Zr 2.09


Entry 5:
VASP calculation (PBE) on an optimized crystal structure of Nd2ErTe4.

Calculated values
Calculated volume ... 483 Å³/cell
ΔE_f (raw) ... -1.425 eV/atom
Crystal system ... orthorhombic

a b c (Å): 8.7795 8.7795 8.7795
angles (deg): 119.46 119.41 90.99
With the nearest neighbours (Å) after each atom.
Atoms (fractional coordinates):
1 Nd 0.0000 0.0000 0.0000  6 Te 3.18-3.22
2 Nd 0.5000 0.0000 0.0000  6 Te 3.13-3.19
3 Nd 0.5000 0.0000 0.5000  6 Te 3.18-3.22
4 Nd 0.5000 0.5000 0.5000  6 Te 3.13-3.19
5 Er 0.0000 0.0000 0.5000  6 Te 3.02-3.08
6 Er 0.0000 0.5000 0.0000  6 Te 3.02-3.08
7 Te 0.2302 0.7388 0.4913  2 Er 3.08, 3 Nd 3.19-3.22
8 Te 0.2455 0.2532 0.5077  1 Er 3.02, 3 Nd 3.13-3.18
9 Te 0.2455 0.7378 0.9923  1 Er 3.02, 3 Nd 3.13-3.18
10 Te 0.2525 0.2612 0.9913  2 Er 3.08, 3 Nd 3.19-3.22
11 Te 0.7475 0.7388 0.0087  2 Er 3.08, 3 Nd 3.19-3.22
12 Te 0.7545 0.2622 0.0077  1 Er 3.02, 3 Nd 3.13-3.18
13 Te 0.7545 0.7468 0.4923  1 Er 3.02, 3 Nd 3.13-3.18
14 Te 0.7698 0.2612 0.5087  2 Er 3.08, 3 Nd 3.19-3.22


Entry 6:
VASP calculation (PBE) on an optimized crystal structure of K2NaIn3Sn4.

Calculated values
Calculated volume ... 323 Å³/cell
Crystal system ... tetragonal
Energy of formation ... -0.148 eV per atom

a b c (Å): 5.0812 5.0812 12.4939
angles (deg): 90.00 90.00 90.00
With the nearest neighbours (Å) after each atom.
Atoms (fractional coordinates):
1 K 0.0000 0.5000 0.2487  6 In 3.87-4.04, 8 Sn 3.87-4.01, 2 Na 4.04
2 K 0.5000 0.0000 0.7513  6 In 3.87-4.04, 8 Sn 3.87-4.01, 2 Na 4.04
3 Na 0.0000 0.0000 0.5000  4 Sn 3.06
4 In 0.0000 0.5000 0.8658  5 Sn 2.87-3.04
5 In 0.5000 0.0000 0.1342  5 Sn 2.87-3.04
6 In 0.5000 0.5000 0.5000  4 Sn 3.06
7 Sn 0.0000 0.0000 0.0000  4 In 3.04
8 Sn 0.0000 0.5000 0.6364  3 In 2.87-3.06, 2 Na 3.06
9 Sn 0.5000 0.0000 0.3636  3 In 2.87-3.06, 2 Na 3.06
10 Sn 0.5000 0.5000 0.0000  4 In 3.04


Entry 7:
VASP calculation (PBE) on an optimized crystal structure of TaCu2MoN.

Calculated values
Calculated volume ... 91 Å³/cell
ΔE_f (raw) ... 1.273 eV/atom
Crystal system ... tetragonal

a b c (Å): 4.8404 4.8404 3.8747
angles (deg): 90.00 90.00 90.00
With the nearest neighbours (Å) after each atom.
Atoms (fractional coordinates):
1 Ta 0.0000 0.0000 0.0000  2 N 1.94
2 Cu 0.0000 0.5000 0.0000  2 Ta 2.42
3 Cu 0.5000 0.0000 0.0000  2 Ta 2.42
4 Mo 0.5000 0.5000 0.5000  8 Cu 3.10, 4 N 3.42
5 N 0.0000 0.0000 0.5000  2 Ta 1.94


Entry 8:
VASP calculation (PBE) on an optimized crystal structure of TeBr2F.

Calculated values
Calculated volume ... 102 Å³/cell
ΔE_f (raw) ... -0.035 eV/atom
Crystal system ... trigonal

a b c (Å): 9.0878 9.0878 9.0878
angles (deg): 23.20 23.20 23.20
With the nearest neighbours (Å) after each atom.
Atoms (fractional coordinates):
1 Te 0.0000 0.0000 0.0000  2 Br 2.57
2 Br 0.0967 0.0967 0.0967  1 Te 2.57, 3 F 2.81
3 Br 0.9033 0.9033 0.9033  1 Te 2.57, 3 F 2.81
4 F 0.5000 0.5000 0.5000  6 Br 2.81